(1)
CrFeGe2 PBEsol relaxed; formation energy = -0.106 eV/atom; DOS(E_F) = 0.859 states/eV per atom; magnetic moment = 3.42 μB/cell; space group = P2_1 (4)
1.0
4.6555 0.0000 0.0000
0.0000 4.6153 0.0000
-0.0031 0.0000 4.6604
Cr Fe Ge
2 2 4
Direct
0.1062 0.0000 0.1283
0.8938 0.5000 0.8717
0.3841 0.7724 0.6394
0.6159 0.2724 0.3606
0.0973 0.4796 0.3493
0.4125 0.2928 0.8386
0.5875 0.7928 0.1614
0.9027 0.9796 0.6507

(2)
NaCo3Sb PBEsol relaxed; total energy = -4.731 eV per atom; DOS(E_F) = 1.675 states/eV per atom; magnetic moment = 4.75 μB/cell; space group = Pm-3m (221)
1.0
4.7185 0.0000 0.0000
0.0000 4.7185 0.0000
0.0000 0.0000 4.7185
Na Co Sb
1 3 1
Direct
0.0000 0.0000 0.0000
0.0000 0.5000 0.5000
0.5000 0.0000 0.5000
0.5000 0.5000 0.0000
0.5000 0.5000 0.5000

(3)
CoTcBi3 PBEsol relaxed; formation energy = 1.036 eV/atom; DOS(E_F) = 0.917 states/eV per atom; magnetic moment = 2.35 μB/cell; space group = Pm-3m (221)
1.0
4.9627 0.0000 0.0000
0.0000 4.9627 0.0000
0.0000 0.0000 4.9627
Co Tc Bi
1 1 3
Direct
0.0000 0.0000 0.0000
0.5000 0.5000 0.5000
0.0000 0.0000 0.5000
0.0000 0.5000 0.0000
0.5000 0.0000 0.0000

(4)
MgCr4Rh PBEsol relaxed; formation energy = 0.183 eV/atom; DOS(E_F) = 1.064 states/eV per atom; magnetic moment = 0.00 μB/cell; space group = F-43m (216)
1.0
0.0000 3.3547 3.3547
3.3547 0.0000 3.3547
3.3547 3.3547 0.0000
Mg Cr Rh
1 4 1
Direct
0.0000 0.0000 0.0000
0.1188 0.6271 0.6271
0.6271 0.1188 0.6271
0.6271 0.6271 0.1188
0.6271 0.6271 0.6271
0.2500 0.2500 0.2500